First-principles (PBE-GGA) data for a relaxed structure of ZnP2Rh, as listed in Alexandria via LeMat-Bulk.

a b c (Å): 5.7722 5.7722 4.8001
angles (deg): 58.13 58.13 29.32
Element x y z (fractional)
1 P 0.1568 0.1568 0.1531
2 P 0.9811 0.9811 0.0714
3 Zn 0.8060 0.8060 0.6459
4 Rh 0.5561 0.5561 0.6296

Calculated values
The formation enthalpy at 0 K is -0.59 eV per formula unit. As for the spin magnetization: 0.00 μB per cell. The space-group type is Cm. For the total energy, the calculation gives -0.368 Ry per atom.

---

First-principles (PBE-GGA) data for a relaxed structure of Sm2YPu, as listed in Alexandria via LeMat-Bulk.

a b c (Å): 5.0194 5.0360 5.0360
angles (deg): 90.00 90.00 90.00
Last column: magnetic moment on the atom in μB.
Element x y z (fractional)
1 Pu 0.5000 0.0000 0.0000  5.50
2 Y 0.5000 0.5000 0.5000  0.07
3 Sm 0.0000 0.5000 0.0000  0.05
4 Sm 0.0000 0.0000 0.5000  0.05

Calculated values
The formation enthalpy at 0 K is 0.61 eV per formula unit. As for the spin magnetization: 6.25 μB per cell. The space-group type is P4/mmm. For the total energy, the calculation gives -0.544 Ry per atom. For the excess energy over the best structure of this formula in the dataset, the calculation gives 44.2 meV/atom.

---

First-principles (PBE-GGA) data for a relaxed structure of ZrTaCl, as listed in Alexandria via LeMat-Bulk.

a b c (Å): 3.0434 5.1536 8.7203
angles (deg): 95.51 73.99 70.52
Element x y z (fractional)
1 Ta 0.0165 0.5809 0.6607
2 Ta 0.9394 0.1023 0.7580
3 Cl 0.7003 0.2354 0.0636
4 Cl 0.8223 0.4150 0.4015
5 Zr 0.5852 0.9579 0.4258
6 Zr 0.0741 0.6610 0.9900

Calculated values
As for the spin magnetization: 0.00 μB per cell. The space-group type is P1. As for the uncorrected formation energy: -279 meV/atom. For the total energy, the calculation gives -0.566 Ry per atom. For the excess energy over the best structure of this formula in the dataset, the calculation gives 0.0 meV/atom.